Entry 1:
Hf3CuSb: optimized geometry, GGA-PBE.

Results
Total magnetization in μB/f.u.: 0.000
Formation energy without anion corrections in kJ/mol of atoms: -25.6
Relative energy among the computed polymorphs in kJ/mol of atoms: 0.0

a b c (Å): 7.519 7.519 7.678
angles (deg): 90.26 90.26 28.23
Sites, in units of the cell vectors:
Hf 0.041 0.041 0.229
Hf 0.250 0.250 0.809
Hf 0.401 0.401 0.447
Hf 0.599 0.599 0.553
Hf 0.750 0.750 0.191
Hf 0.959 0.959 0.771
Cu 0.209 0.209 0.428
Cu 0.791 0.791 0.572
Sb 0.396 0.396 0.065
Sb 0.604 0.604 0.935

---

Entry 2:
Hf6CuSb3: optimized geometry, GGA-PBE.

Results
Total magnetization in μB/f.u.: 0.000
Formation energy without anion corrections in kJ/mol of atoms: -18.0

a b c (Å): 8.735 8.735 6.113
angles (deg): 90.00 90.00 104.39
Sites, in units of the cell vectors:
Hf 0.056 0.521 0.347
Hf 0.097 0.903 0.500
Hf 0.240 0.760 0.016
Hf 0.268 0.422 0.936
Hf 0.422 0.268 0.436
Hf 0.479 0.944 0.347
Hf 0.521 0.056 0.847
Hf 0.578 0.732 0.936
Hf 0.732 0.578 0.436
Hf 0.760 0.240 0.516
Hf 0.903 0.097 0.000
Hf 0.944 0.479 0.847
Cu 0.284 0.716 0.623
Cu 0.716 0.284 0.123
Sb 0.090 0.237 0.590
Sb 0.237 0.090 0.090
Sb 0.412 0.588 0.323
Sb 0.588 0.412 0.823
Sb 0.763 0.910 0.590
Sb 0.910 0.763 0.090

---

Entry 3:
Hf6CuSb: optimized geometry, GGA-PBE.

Results
Total magnetization in μB/f.u.: 0.000
Formation energy without anion corrections in kJ/mol of atoms: 23.3

a b c (Å): 6.298 6.298 6.039
angles (deg): 103.23 103.23 122.19
Sites, in units of the cell vectors:
Hf 0.209 0.769 0.737
Hf 0.231 0.791 0.263
Hf 0.478 0.478 0.736
Hf 0.522 0.522 0.264
Hf 0.769 0.209 0.737
Hf 0.791 0.231 0.263
Cu 0.000 0.000 0.500
Sb 0.000 0.000 0.000

---

Entry 4:
Hf2CuSb: optimized geometry, GGA-PBE.

Results
Total magnetization in μB/f.u.: 0.000
Formation energy without anion corrections in kJ/mol of atoms: 0.2

a b c (Å): 6.071 6.071 6.071
angles (deg): 103.75 103.75 121.64
Sites, in units of the cell vectors:
Hf 0.098 0.625 0.973
Hf 0.375 0.348 0.473
Hf 0.652 0.125 0.027
Hf 0.875 0.902 0.527
Cu 0.000 0.000 0.000
Cu 0.750 0.250 0.500
Sb 0.250 0.750 0.500
Sb 0.500 0.500 0.000

---

Entry 5:
Hf2Cu2Sb: optimized geometry, GGA-PBE.

Results
Total magnetization in μB/f.u.: 0.000
Formation energy without anion corrections in kJ/mol of atoms: 5.4
Relative energy among the computed polymorphs in kJ/mol of atoms: 30.1

a b c (Å): 7.636 7.636 3.331
angles (deg): 90.00 90.00 90.00
Sites, in units of the cell vectors:
Hf 0.162 0.338 0.000
Hf 0.338 0.838 0.000
Hf 0.662 0.162 0.000
Hf 0.838 0.662 0.000
Cu 0.126 0.626 0.500
Cu 0.374 0.126 0.500
Cu 0.626 0.874 0.500
Cu 0.874 0.374 0.500
Sb 0.000 0.000 0.000
Sb 0.500 0.500 0.000

---

Entry 6:
Hf2CuSb: optimized geometry, GGA-PBE.

Results
Total magnetization in μB/f.u.: 0.000
Formation energy without anion corrections in kJ/mol of atoms: -20.9

a b c (Å): 4.285 4.285 4.210
angles (deg): 90.00 90.00 90.00
Sites, in units of the cell vectors:
Hf 0.000 0.500 0.000
Hf 0.500 0.000 0.000
Cu 0.000 0.000 0.500
Sb 0.500 0.500 0.500

---

Entry 7:
HfCu2Sb: optimized geometry, GGA-PBE.

Results
Total magnetization in μB/f.u.: 0.000
Formation energy without anion corrections in kJ/mol of atoms: 14.2

a b c (Å): 10.057 10.057 10.057
angles (deg): 157.02 157.02 32.73
Sites, in units of the cell vectors:
Hf 0.000 0.000 0.000
Hf 0.750 0.250 0.500
Cu 0.107 0.625 0.982
Cu 0.375 0.357 0.482
Cu 0.643 0.125 0.018
Cu 0.875 0.893 0.518
Sb 0.250 0.750 0.500
Sb 0.500 0.500 0.000

---

Entry 8:
HfCu3Sb: optimized geometry, GGA-PBE.

Results
Total magnetization in μB/f.u.: 0.000
Formation energy without anion corrections in kJ/mol of atoms: 86.1
Relative energy among the computed polymorphs in kJ/mol of atoms: 0.0

a b c (Å): 4.688 4.688 4.688
angles (deg): 90.00 90.00 90.00
Sites, in units of the cell vectors:
Hf 0.000 0.000 0.000
Cu 0.000 0.500 0.500
Cu 0.500 0.000 0.500
Cu 0.500 0.500 0.000
Sb 0.500 0.500 0.500